# 1
Material: BaAsSe2F
Method: DFT, SCAN
State: single point on PBEsol structure

```
5
Lattice="-1.1317 -3.3315 -2.0712 0.0046 -2.8030 4.5061 -5.0988 1.2467 0.7808" Properties=species:S:1:pos:R:3 pbc="T T T"
As -0.5659 -1.6657 -1.0356
F 0.0000 0.0000 0.0000
Ba -3.1129 -2.4439 1.6078
Se -2.5494 0.6233 0.3904
Se 0.0023 -1.4015 2.2530
```

ΔE_f (raw)   -800 meV/atom
Crystal system   tetragonal

# 2
Material: SiPt2Rh
Method: DFT, SCAN
State: single point on PBEsol structure

```
4
Lattice="-2.7992 0.2418 0.1535 -0.2243 -2.7886 0.3017 0.4426 0.7158 6.9443" Properties=species:S:1:pos:R:3 pbc="T T T"
Rh 0.2399 0.3881 3.7649
Pt -1.3985 -1.0902 2.0048
Pt 0.4257 0.6886 6.6801
Si -1.1843 -0.7437 5.3660
```

ΔE_f (raw)   -475 meV/atom
Crystal system   tetragonal

# 3
Material: TaBeOs2
Method: DFT, SCAN
State: single point on PBEsol structure

```
4
Lattice="-2.0860 -0.0418 1.8050 -1.0834 -2.1773 -1.3025 3.7104 -4.3513 4.1874" Properties=species:S:1:pos:R:3 pbc="T T T"
Ta 1.9710 -2.3115 2.2244
Os -0.7737 -2.0606 1.1665
Os 3.6199 -4.2451 4.0852
Be 1.2894 -4.4801 3.4948
```

Formation energy   -0.151 eV per atom
Crystal system   tetragonal

# 4
Material: ReSiAg2P
Method: DFT, SCAN
State: single point on PBEsol structure

```
5
Lattice="4.4638 0.0000 0.0000 0.0000 4.6032 0.0000 0.0000 0.0000 4.6032" Properties=species:S:1:pos:R:3 pbc="T T T"
Re 2.2319 0.0000 0.0000
Ag 0.0000 0.0000 2.3016
Ag 0.0000 2.3016 0.0000
Si 2.2319 2.3016 2.3016
P 0.0000 0.0000 0.0000
```

ΔE_f (raw)   1098 meV/atom
Crystal system   tetragonal

# 5
Material: Ba2AsP
Method: DFT, SCAN
State: single point on PBEsol structure

```
4
Lattice="-4.5588 0.8050 2.6382 4.0073 -1.4955 3.1775 1.9019 4.4303 -2.2687" Properties=species:S:1:pos:R:3 pbc="T T T"
Ba 0.1488 3.3513 0.4120
Ba 1.2015 0.3884 3.1351
As 0.0000 0.0000 0.0000
P 2.9546 1.4674 0.4544
```

Energy relative to the lowest polymorph listed for this composition   250 meV/atom
Formation energy   -0.878 eV per atom
Crystal system   tetragonal

# 6
Material: MnO2
Method: DFT, SCAN
State: single point on PBEsol structure

```
3
Lattice="2.8467 0.0000 0.0000 -1.4234 2.4654 0.0000 0.0000 0.0000 4.7551" Properties=species:S:1:pos:R:3 pbc="T T T"
O 0.0000 1.6436 3.3279
O 1.4234 0.8218 1.4271
Mn 0.0000 0.0000 2.3775
```

ΔE_f (raw)   -2048 meV/atom
Crystal system   trigonal